[1]
30
Lattice="7.740 -0.027 0.000 -6.098 4.767 0.000 0.000 0.000 8.602" Properties=species:S:1:pos:R:3 comment="Na2B3C | the Alexandria database | PBE | relaxed" e_above_lowest_polymorph_ev_per_fu=0.275 e_form_ev_per_atom=0.18 n_ef_per_ev_cell=5.14 magnetic_moment_mub_per_fu=0.0 pbc="T T T"
Na -3.326 3.810 0.046
Na -3.326 3.810 4.255
Na -0.565 2.854 0.046
Na -0.565 2.854 4.255
Na 1.637 4.720 0.018
Na 1.637 4.720 4.283
Na 2.196 1.873 0.018
Na 2.196 1.873 4.283
Na 4.977 0.945 0.051
Na 4.977 0.945 4.250
B -1.671 4.124 2.150
B -2.248 2.459 2.150
B -1.667 4.136 6.451
B 0.551 1.468 6.451
B 0.549 1.583 2.150
B 1.002 3.121 6.451
B 2.680 3.385 6.451
B 2.753 3.473 2.150
B 1.707 0.223 6.451
B 3.291 0.680 6.451
B 3.238 0.665 2.150
B 4.026 2.235 6.451
B 0.040 4.461 6.451
B 0.073 4.416 2.150
B -1.217 1.397 6.451
C -2.196 2.609 6.451
C 1.144 3.170 2.150
C 1.625 0.349 2.150
C 3.842 2.208 2.150
C -1.090 1.263 2.150

[2]
24
Lattice="-4.358 -6.996 3.905 -1.229 -9.063 0.678 4.175 0.820 4.114" Properties=species:S:1:pos:R:3 comment="Na2B3C | the Alexandria database | PBE | relaxed" e_above_lowest_polymorph_ev_per_fu=0.237 e_form_ev_per_atom=0.17 n_ef_per_ev_cell=2.73 magnetic_moment_mub_per_fu=0.0 pbc="T T T"
Na 0.338 -7.415 5.377
Na 1.213 -3.488 3.718
Na -1.750 -7.825 3.320
Na -0.865 -3.894 1.634
Na 0.850 -8.657 2.740
Na -2.635 -11.756 5.007
Na -4.350 -6.993 3.900
Na -0.537 -11.341 7.036
C -0.274 -4.762 5.645
C 0.949 -10.067 5.110
C 2.334 -5.624 4.956
C -1.659 -9.205 5.799
B -1.182 -10.423 3.186
B -0.638 -9.894 4.719
B -0.735 -5.255 4.256
B -2.317 -5.226 3.454
B -2.765 -10.394 2.384
B 1.313 -4.935 6.035
B 0.147 -6.007 2.945
B -3.646 -9.642 3.695
B -3.185 -9.101 5.230
B -0.315 -6.548 1.411
B -1.193 -8.696 7.219
B 1.868 -6.133 3.535

[3]
30
Lattice="-2.162 1.758 -8.709 0.498 0.893 -9.087 -3.581 -12.656 3.745" Properties=species:S:1:pos:R:3 comment="Na5B8C2 | the Alexandria database | PBE | relaxed" e_above_lowest_polymorph_ev_per_fu=0.219 e_form_ev_per_atom=0.18 n_ef_per_ev_cell=9.77 magnetic_moment_mub_per_fu=0.0 pbc="T T T"
Na 0.000 0.000 0.000
Na -3.547 -10.837 -0.177
Na -1.771 -4.543 -2.075
Na -1.746 -2.764 -5.975
Na -3.517 -9.016 -4.135
Na -3.500 -7.241 -8.075
Na -1.729 -0.989 -9.915
Na -1.699 0.831 -13.873
Na -3.475 -5.462 -11.975
Na -1.791 -6.328 1.873
B -1.108 1.485 -11.205
B -4.592 -9.188 -11.317
B -4.133 -9.741 -6.816
B -2.858 -3.010 -13.243
B -2.317 0.103 -16.560
B -1.234 -4.037 0.552
B -2.279 -1.529 -12.553
B -2.929 -10.108 2.509
B -2.388 -6.995 -0.808
B -2.967 -8.476 -1.497
B -4.012 -5.968 -14.602
B -4.138 -11.490 -2.845
B -1.113 -0.264 -7.234
B -0.654 -0.817 -2.733
B -2.867 -4.762 -9.291
B -2.379 -5.243 -4.759
C -4.078 -7.863 -10.727
C -1.168 -2.142 -3.323
C -2.907 -6.597 -5.378
C -2.339 -3.408 -8.672

[4]
24
Lattice="-1.455 8.403 -5.373 3.129 -8.223 -4.923 -2.676 -0.750 -0.448" Properties=species:S:1:pos:R:3 comment="Na2B3C | the Alexandria database | PBE | relaxed" e_above_lowest_polymorph_ev_per_fu=0.127 e_form_ev_per_atom=0.15 n_ef_per_ev_cell=3.43 magnetic_moment_mub_per_fu=0.0 pbc="T T T"
Na -0.081 -0.235 -7.963
Na 1.063 -4.403 -7.819
Na -0.924 -0.326 -2.782
Na 0.230 -4.493 -2.698
Na 0.848 0.059 -5.164
Na 1.987 -4.083 -5.031
Na 3.117 -8.187 -4.909
Na -0.311 4.258 -5.270
C 0.823 2.215 -8.618
C 1.338 -6.510 -5.941
C -2.365 5.960 -4.696
C -0.920 1.810 -6.377
B 1.712 -1.954 -6.953
B -0.031 2.147 -3.408
B -0.321 2.106 -1.609
B 1.981 -1.911 -8.630
B 0.849 -2.047 -1.643
B 0.556 2.195 -6.991
B 1.120 -2.031 -3.288
B -0.053 -2.397 -4.516
B 1.071 -6.543 -4.287
B 0.213 -2.358 -6.169
B -1.175 1.787 -4.815
B -2.114 5.976 -6.217

[5]
30
Lattice="11.042 0.110 -2.798 10.650 2.916 -2.798 -0.607 -0.085 9.825" Properties=species:S:1:pos:R:3 comment="Na5B6C4 | the Alexandria database | PBE | relaxed" e_above_lowest_polymorph_ev_per_fu=0.000 e_form_ev_per_atom=0.05 n_ef_per_ev_cell=1.43 magnetic_moment_mub_per_fu=0.0 pbc="T T T"
Na 8.211 1.146 5.597
Na 10.542 1.471 2.115
Na 4.092 0.571 2.819
Na 6.437 0.898 -0.710
Na 0.000 0.000 0.000
Na 1.761 0.246 6.332
Na 16.992 2.371 1.411
Na 19.324 2.696 -2.102
Na 12.873 1.796 -1.367
Na 14.647 2.044 4.940
B 19.555 2.728 0.610
B 1.529 0.213 3.621
B 0.067 0.009 2.602
B 21.018 2.932 1.628
B 17.169 2.395 4.102
B 16.751 2.337 -1.316
B 13.200 1.842 1.388
B 12.162 1.697 5.799
B 8.923 1.245 -1.569
B 7.885 1.100 2.842
B 4.334 0.605 5.546
B 3.915 0.546 0.128
C 15.419 2.151 -2.231
C 19.120 2.668 -4.808
C 10.810 1.508 4.881
C 14.517 2.025 2.294
C 6.567 0.916 1.936
C 10.274 1.433 -0.651
C 1.965 0.274 9.038
C 5.665 0.790 6.461

[6]
24
Lattice="8.674 0.241 -2.590 8.125 3.047 -2.590 0.006 0.001 10.349" Properties=species:S:1:pos:R:3 comment="Na2B3C | the Alexandria database | PBE | relaxed" e_above_lowest_polymorph_ev_per_fu=0.165 e_form_ev_per_atom=0.16 n_ef_per_ev_cell=7.06 magnetic_moment_mub_per_fu=0.0 pbc="T T T"
Na 8.399 1.644 0.006
Na 4.180 0.818 0.006
Na 8.418 1.648 5.174
Na 4.224 0.827 5.166
Na 16.790 3.287 5.167
Na 12.604 2.468 5.170
Na 0.005 0.001 5.166
Na 12.601 2.467 -0.004
C 14.703 2.878 -1.646
C 10.499 2.055 1.638
C 6.291 1.232 3.370
C 2.112 0.414 1.801
B 10.508 2.057 6.998
B 10.505 2.057 -1.548
B 14.706 2.879 -3.262
B 14.700 2.878 3.343
B 10.496 2.055 3.254
B 14.697 2.877 1.540
B 6.308 1.235 -1.666
B 2.096 0.410 6.838
B 2.107 0.412 8.612
B 6.303 1.234 6.908
B 2.106 0.412 3.451
B 6.298 1.233 1.721

[7]
30
Lattice="11.453 0.168 -2.727 11.062 2.974 -2.727 -0.496 -0.069 10.127" Properties=species:S:1:pos:R:3 comment="Na5B8C2 | the Alexandria database | PBE | relaxed" e_above_lowest_polymorph_ev_per_fu=0.187 e_form_ev_per_atom=0.18 n_ef_per_ev_cell=5.78 magnetic_moment_mub_per_fu=0.0 pbc="T T T"
Na 8.643 1.206 5.931
Na 11.004 1.535 2.335
Na 4.291 0.599 2.947
Na 6.718 0.937 -0.631
Na 22.499 3.139 -5.451
Na 1.895 0.264 6.563
Na 17.756 2.477 1.706
Na 20.120 2.807 -1.900
Na 13.351 1.863 -1.246
Na 15.322 2.138 5.319
B 20.444 2.852 0.971
B 1.508 0.210 3.653
B 0.052 0.007 2.644
B 21.814 3.043 1.934
B 16.015 2.234 -2.084
B 18.032 2.516 4.542
B 17.371 2.424 -1.164
B 11.351 1.584 5.219
B 15.097 2.106 2.546
B 13.715 1.913 1.590
B 12.763 1.781 6.179
B 6.996 0.976 2.167
B 9.283 1.295 -1.484
B 8.346 1.164 3.102
B 4.794 0.669 5.923
B 3.902 0.544 0.076
C 19.863 2.771 -4.673
C 10.640 1.484 -0.556
C 2.129 0.297 9.337
C 6.079 0.848 6.798

[8]
24
Lattice="9.929 -0.604 0.000 -4.229 8.983 0.000 0.000 0.000 2.802" Properties=species:S:1:pos:R:3 comment="Na4B5C3 | the Alexandria database | PBE | relaxed" e_above_lowest_polymorph_ev_per_fu=0.034 e_form_ev_per_atom=0.06 n_ef_per_ev_cell=3.07 magnetic_moment_mub_per_fu=0.0 pbc="T T T"
Na 4.290 6.311 1.401
Na 4.964 -0.302 1.401
Na 1.410 2.067 1.401
Na -2.115 4.491 1.401
Na 2.850 4.189 0.000
Na -0.730 6.600 0.000
Na 0.000 0.000 0.000
Na 6.429 1.779 0.000
C -0.821 2.609 0.000
C 6.521 5.770 0.000
C 0.538 4.629 1.401
C -2.061 8.405 1.401
C 7.761 -0.026 1.401
C 5.161 3.750 1.401
B 2.084 6.852 0.000
B 3.615 1.526 0.000
B 2.630 0.094 0.000
B 3.070 8.285 0.000
B 5.623 4.438 0.000
B 0.076 3.941 0.000
B -2.961 7.053 1.401
B 1.422 5.907 1.401
B 4.278 2.472 1.401
B 8.660 1.326 1.401